Entry 1:
A relaxed ReRu2Pt crystal. Source: the Alexandria database, functional PBE.

Properties
Energy relative to the lowest polymorph listed for this composition = 0.90 kJ per mole of atoms
Formation enthalpy at 0 K = -0.012 eV/atom

Cell: 2.7189 3.9230 5.4491 Å, 90.00 90.00 90.00°
Last column: nearest neighbours and their distance in Å.
Fractional coordinates of all 4 atoms:
Re  0.0000  0.0000  0.0000  6 Ru 2.59-2.86, 2 Re 2.72, 4 Pt 2.78
Ru  0.0000  0.0000  0.4759  2 Re 2.59-2.86, 6 Ru 2.71-2.72, 4 Pt 2.78
Ru  0.5000  0.5000  0.2390  6 Ru 2.71-2.72, 2 Pt 2.72-2.73, 4 Re 2.72
Pt  0.5000  0.5000  0.7376  6 Ru 2.72-2.78, 2 Pt 2.72, 4 Re 2.78

Entry 2:
A relaxed PmHoLu2 crystal. Source: the Alexandria database, functional PBE.

Properties
Energy relative to the lowest polymorph listed for this composition = 6.86 kJ per mole of atoms
Formation enthalpy at 0 K = 0.101 eV/atom

Cell: 7.9404 7.9404 7.9404 Å, 90.00 90.00 90.00°
Last column: nearest neighbours and their distance in Å.
Fractional coordinates of all 16 atoms:
Pm  0.0000  0.0000  0.0000  8 Lu 3.44
Pm  0.0000  0.5000  0.5000  8 Lu 3.44
Pm  0.5000  0.0000  0.5000  8 Lu 3.44
Pm  0.5000  0.5000  0.0000  8 Lu 3.44
Ho  0.0000  0.0000  0.5000  8 Lu 3.44
Ho  0.0000  0.5000  0.0000  8 Lu 3.44
Ho  0.5000  0.0000  0.0000  8 Lu 3.44
Ho  0.5000  0.5000  0.5000  8 Lu 3.44
Lu  0.2500  0.2500  0.2500  4 Ho 3.44, 4 Pm 3.44
Lu  0.2500  0.2500  0.7500  4 Ho 3.44, 4 Pm 3.44
Lu  0.2500  0.7500  0.2500  4 Ho 3.44, 4 Pm 3.44
Lu  0.2500  0.7500  0.7500  4 Ho 3.44, 4 Pm 3.44
Lu  0.7500  0.2500  0.2500  4 Ho 3.44, 4 Pm 3.44
Lu  0.7500  0.2500  0.7500  4 Ho 3.44, 4 Pm 3.44
Lu  0.7500  0.7500  0.2500  4 Ho 3.44, 4 Pm 3.44
Lu  0.7500  0.7500  0.7500  4 Ho 3.44, 4 Pm 3.44

Entry 3:
A relaxed KZn2FeCl8 crystal. Source: the Alexandria database, functional PBE.

Properties
Formation energy from raw total energies = -1050 meV/atom

Cell: 6.0851 6.0851 9.2058 Å, 93.36 93.36 68.03°
Last column: nearest neighbours and their distance in Å.
Fractional coordinates of all 12 atoms:
K  0.0000  0.0000  0.0000  6 Cl 3.26-3.37
Zn  0.3639  0.3639  0.6937  4 Cl 2.20-2.39
Zn  0.6361  0.6361  0.3063  4 Cl 2.20-2.39
Fe  0.0000  0.0000  0.5000  6 Cl 2.27-2.30
Cl  0.2176  0.7490  0.3201  1 Fe 2.30, 1 Zn 2.39
Cl  0.2240  0.2240  0.4867  1 Fe 2.27, 1 Zn 2.29
Cl  0.2510  0.7824  0.6799  1 Fe 2.30, 1 Zn 2.39
Cl  0.3103  0.3103  0.9215  1 Zn 2.20
Cl  0.6897  0.6897  0.0785  1 Zn 2.20
Cl  0.7490  0.2176  0.3201  1 Fe 2.30, 1 Zn 2.39
Cl  0.7760  0.7760  0.5133  1 Fe 2.27, 1 Zn 2.29
Cl  0.7824  0.2510  0.6799  1 Fe 2.30, 1 Zn 2.39

Entry 4:
A relaxed La2Zn2Se crystal. Source: the Alexandria database, functional PBE.

Properties
Formation energy from raw total energies = -624 meV/atom
Energy relative to the lowest polymorph listed for this composition = 0.00 kJ per mole of atoms

Cell: 7.9587 7.9587 4.7025 Å, 90.00 90.00 90.00°
Last column: nearest neighbours and their distance in Å.
Fractional coordinates of all 10 atoms:
La  0.1731  0.3269  0.0000  2 Se 2.94
La  0.3269  0.8269  0.0000  2 Se 2.94
La  0.6731  0.1731  0.0000  2 Se 2.94
La  0.8269  0.6731  0.0000  2 Se 2.94
Zn  0.1160  0.6160  0.5000  1 Zn 2.61
Zn  0.3840  0.1160  0.5000  1 Zn 2.61
Zn  0.6160  0.8840  0.5000  1 Zn 2.61
Zn  0.8840  0.3840  0.5000  1 Zn 2.61
Se  0.0000  0.0000  0.0000  4 La 2.94
Se  0.5000  0.5000  0.0000  4 La 2.94

Entry 5:
A relaxed PdNClF2 crystal. Source: the Alexandria database, functional PBE.

Properties
Formation energy from raw total energies = 275 meV/atom
Energy relative to the lowest polymorph listed for this composition = 0.00 kJ per mole of atoms

Cell: 4.2108 4.2108 3.8629 Å, 90.00 90.00 90.00°
Last column: nearest neighbours and their distance in Å.
Fractional coordinates of all 5 atoms:
Pd  0.0000  0.0000  0.0000  2 N 1.93, 4 F 2.11
N  0.0000  0.0000  0.5000  2 Pd 1.93
Cl  0.5000  0.5000  0.5000  8 F 2.86, 4 N 2.98
F  0.0000  0.5000  0.0000  2 Pd 2.11
F  0.5000  0.0000  0.0000  2 Pd 2.11

Entry 6:
A relaxed PrDySnPd crystal. Source: the Alexandria database, functional PBE.

Properties
Formation enthalpy at 0 K = -0.690 eV/atom

Cell: 7.4487 7.4487 7.4487 Å, 90.00 90.00 90.00°
Last column: nearest neighbours and their distance in Å.
Fractional coordinates of all 16 atoms:
Pr  0.0000  0.0000  0.0000  4 Sn 3.23, 4 Pd 3.23
Pr  0.0000  0.5000  0.5000  4 Sn 3.23, 4 Pd 3.23
Pr  0.5000  0.0000  0.5000  4 Sn 3.23, 4 Pd 3.23
Pr  0.5000  0.5000  0.0000  4 Sn 3.23, 4 Pd 3.23
Dy  0.0000  0.0000  0.5000  4 Sn 3.23, 4 Pd 3.23
Dy  0.0000  0.5000  0.0000  4 Sn 3.23, 4 Pd 3.23
Dy  0.5000  0.0000  0.0000  4 Sn 3.23, 4 Pd 3.23
Dy  0.5000  0.5000  0.5000  4 Sn 3.23, 4 Pd 3.23
Sn  0.2500  0.2500  0.2500  4 Dy 3.23, 4 Pr 3.23
Sn  0.2500  0.7500  0.7500  4 Dy 3.23, 4 Pr 3.23
Sn  0.7500  0.2500  0.7500  4 Dy 3.23, 4 Pr 3.23
Sn  0.7500  0.7500  0.2500  4 Dy 3.23, 4 Pr 3.23
Pd  0.2500  0.2500  0.7500  4 Dy 3.23, 4 Pr 3.23
Pd  0.2500  0.7500  0.2500  4 Dy 3.23, 4 Pr 3.23
Pd  0.7500  0.2500  0.2500  4 Dy 3.23, 4 Pr 3.23
Pd  0.7500  0.7500  0.7500  4 Dy 3.23, 4 Pr 3.23

Entry 7:
A relaxed BeCu2OsSe crystal. Source: the Alexandria database, functional PBE.

Properties
Formation energy from raw total energies = 1027 meV/atom

Cell: 4.0443 4.0443 4.2996 Å, 90.00 90.00 90.00°
Last column: nearest neighbours and their distance in Å.
Fractional coordinates of all 5 atoms:
Be  0.0000  0.0000  0.0000  4 Cu 2.02, 2 Se 2.15
Cu  0.0000  0.5000  0.0000  2 Be 2.02
Cu  0.5000  0.0000  0.0000  2 Be 2.02
Os  0.5000  0.5000  0.5000  4 Se 2.86, 8 Cu 2.95
Se  0.0000  0.0000  0.5000  2 Be 2.15

Entry 8:
A relaxed OsRh3W crystal. Source: the Alexandria database, functional PBE.

Properties
Energy relative to the lowest polymorph listed for this composition = 0.00 kJ per mole of atoms
Formation enthalpy at 0 K = 1.830 eV/atom

Cell: 4.6374 4.6374 4.6374 Å, 90.00 90.00 90.00°
Last column: nearest neighbours and their distance in Å.
Fractional coordinates of all 5 atoms:
Os  0.0000  0.0000  0.0000  12 Rh 3.28
Rh  0.0000  0.5000  0.5000  2 W 2.32
Rh  0.5000  0.0000  0.5000  2 W 2.32
Rh  0.5000  0.5000  0.0000  2 W 2.32
W  0.5000  0.5000  0.5000  6 Rh 2.32

Number 1: size of the total moment 0.00 μB per atom. Number 2: size of the total moment 0.00 μB per atom. Number 3: size of the total moment 0.08 μB per atom. Number 4: size of the total moment 0.00 μB per atom. Number 5: size of the total moment 0.11 μB per atom. Number 6: size of the total moment 0.00 μB per atom. Number 7: size of the total moment 0.19 μB per atom. Number 8: size of the total moment 0.59 μB per atom.